# PBE Sm2CdNi4Ge3, optimized geometry
# **Volume**: 172.9 Å³/f.u.
# **Total DFT energy (no corrections)**: -5.29 eV per atom
data_Sm2CdNi4Ge3
_space_group_name_H-M_alt 'P -4 m 2'
_space_group_IT_number 115
_cell_length_a 4.161
_cell_length_b 4.161
_cell_length_c 9.987
_cell_angle_alpha 90.00
_cell_angle_beta 90.00
_cell_angle_gamma 90.00
loop_
_space_group_symop_operation_xyz
'x,y,z'
'y,-x,-z'
'-x,-y,z'
'-y,x,-z'
'-x,y,z'
'-y,-x,-z'
'x,-y,z'
'y,x,-z'
loop_
_atom_site_label
_atom_site_type_symbol
_atom_site_fract_x
_atom_site_fract_y
_atom_site_fract_z
_atom_site_occupancy
Sm1 Sm 0.000 0.500 0.240 1
Cd1 Cd 0.000 0.000 0.500 1
Ni1 Ni 0.000 0.000 0.000 1
Ni2 Ni 0.000 0.500 0.645 1
Ni3 Ni 0.500 0.500 0.000 1
Ge1 Ge 0.000 0.500 0.878 1
Ge2 Ge 0.500 0.500 0.500 1